## V3Cr2NiP6O24 (GGA-PBEsol)

Data for a geometry-optimized V3Cr2NiP6O24 structure.

a = 8.291 Å, b = 8.291 Å, c = 8.291 Å
α = 61.63°, β = 61.63°, γ = 61.63°
Each line ends with the local moment (μB).
Fractional coordinates of all 36 atoms:
O 0.948 0.746 0.096  0.05
O 0.382 0.183 0.996  -0.02
O 0.746 0.096 0.948  0.05
O 0.608 0.822 0.015  0.04
O 0.592 0.251 0.430  -0.01
O 0.183 0.996 0.382  -0.02
O 0.561 0.408 0.750  -0.01
O 0.408 0.750 0.561  -0.01
O 0.490 0.331 0.112  -0.01
O 0.750 0.561 0.408  -0.01
O 0.909 0.057 0.249  -0.02
O 0.885 0.499 0.680  0.00
O 0.015 0.608 0.822  0.04
O 0.996 0.382 0.183  -0.02
O 0.680 0.885 0.499  0.00
O 0.822 0.015 0.608  0.04
O 0.057 0.249 0.909  -0.02
O 0.096 0.948 0.746  0.05
O 0.499 0.680 0.885  0.00
O 0.251 0.430 0.592  -0.01
O 0.249 0.909 0.057  -0.02
O 0.430 0.592 0.251  -0.01
O 0.331 0.112 0.490  -0.01
O 0.112 0.490 0.331  -0.01
P 0.544 0.251 0.955  0.02
P 0.752 0.045 0.457  0.02
P 0.045 0.457 0.752  0.02
P 0.955 0.544 0.251  0.02
P 0.251 0.955 0.544  0.02
P 0.457 0.752 0.045  0.02
Cr 0.998 0.998 0.998  2.99
Cr 0.499 0.499 0.499  3.21
Ni 0.859 0.859 0.859  1.61
V 0.357 0.357 0.357  1.33
V 0.643 0.643 0.643  1.41
V 0.141 0.141 0.141  1.48

Computed properties:
M_tot = 13.00 μB per formula unit
Volume = 11.604 A^3/atom
E_tot = -8.0637 eV per atom
Space-group type = R3 (146)